Material: Y3Ho2ScSe6
Method: DFT, GGA-PBE
State: relaxed

Calculated values
Raw formation energy: -1987 kJ/mol of formula units
Crystal system: monoclinic

abc: 9.0383 9.0383 8.1185
angles: 103.16 103.16 25.79
Closest atoms and distances in Å follow each position.
Fractional positions:
Y 0.0000 0.0000 0.0000  6 Se 2.86-2.92
Y 0.3308 0.3308 0.6645  6 Se 2.87-2.90
Y 0.6692 0.6692 0.3355  6 Se 2.87-2.90
Ho 0.3337 0.3337 0.1674  6 Se 2.85-2.86
Ho 0.6663 0.6663 0.8326  6 Se 2.85-2.86
Sc 0.0000 0.0000 0.5000  6 Se 2.77-2.80
Se 0.1614 0.1614 0.5828  1 Sc 2.77, 2 Ho 2.85, 3 Y 2.87-2.90
Se 0.1671 0.1671 0.0818  3 Ho 2.85, 3 Y 2.86-2.88
Se 0.4994 0.4994 0.7391  2 Sc 2.80, 1 Ho 2.86, 3 Y 2.89-2.92
Se 0.5006 0.5006 0.2609  2 Sc 2.80, 1 Ho 2.86, 3 Y 2.89-2.92
Se 0.8329 0.8329 0.9182  3 Ho 2.85, 3 Y 2.86-2.88
Se 0.8386 0.8386 0.4172  1 Sc 2.77, 2 Ho 2.85, 3 Y 2.87-2.90

=====

Material: UNi4Rh
Method: DFT, GGA-PBE
State: relaxed

Calculated values
Crystal system: cubic
Formation energy: -0.3099 eV/atom

abc: 4.8325 4.8325 4.8325
angles: 60.00 60.00 60.00
Closest atoms and distances in Å follow each position.
Fractional positions:
U 0.0000 0.0000 0.0000  12 Ni 2.83, 4 Rh 2.96
Ni 0.3755 0.3755 0.3755  6 Ni 2.41-2.43
Ni 0.3755 0.3755 0.8736  6 Ni 2.41-2.43
Ni 0.3755 0.8736 0.3755  6 Ni 2.41-2.43
Ni 0.8736 0.3755 0.3755  6 Ni 2.41-2.43
Rh 0.7500 0.7500 0.7500  12 Ni 2.83, 4 U 2.96

=====

Material: La2YTc
Method: DFT, GGA-PBE
State: relaxed

Calculated values
Relative energy among the computed polymorphs: 305 meV/atom
Crystal system: tetragonal
Formation energy: 0.2655 eV/atom

abc: 6.9997 6.9997 6.9997
angles: 101.40 101.40 127.22
Closest atoms and distances in Å follow each position.
Fractional positions:
La 0.0360 0.1250 0.4110  2 Tc 2.75
La 0.3750 0.9640 0.0890  2 Tc 2.75
La 0.7140 0.6250 0.5890  2 Tc 2.75
La 0.8750 0.2860 0.9110  2 Tc 2.75
Y 0.2500 0.7500 0.5000  2 Tc 3.11
Y 0.5000 0.5000 0.0000  2 Tc 3.11
Tc 0.0000 0.0000 0.0000  4 La 2.75
Tc 0.7500 0.2500 0.5000  4 La 2.75

=====

Material: Pb3S
Method: DFT, GGA-PBE
State: relaxed

Calculated values
Raw formation energy: -44 kJ/mol of formula units
Crystal system: orthorhombic

abc: 3.8258 6.0934 5.5370
angles: 90.00 90.00 90.00
Closest atoms and distances in Å follow each position.
Fractional positions:
Pb 0.0000 0.0000 0.0000  6 Pb 3.17-3.42
Pb 0.0000 0.5000 0.1592  2 S 2.70
Pb 0.5000 0.0000 0.5114  2 S 3.05, 2 Pb 3.31
S 0.5000 0.5000 0.5032  2 Pb 2.70

=====

Material: Ba3PdF
Method: DFT, GGA-PBE
State: relaxed

Calculated values
Raw formation energy: -501 kJ/mol of formula units
Relative energy among the computed polymorphs: 230 meV/atom
Crystal system: cubic

abc: 5.4991 5.4991 5.4991
angles: 90.00 90.00 90.00
Closest atoms and distances in Å follow each position.
Fractional positions:
Ba 0.0000 0.0000 0.5000  2 F 2.75
Ba 0.0000 0.5000 0.0000  2 F 2.75
Ba 0.5000 0.0000 0.0000  2 F 2.75
Pd 0.5000 0.5000 0.5000  12 Ba 3.89
F 0.0000 0.0000 0.0000  6 Ba 2.75

=====

Material: Tb4Sm4Y
Method: DFT, GGA-PBE
State: relaxed

Calculated values
Relative energy among the computed polymorphs: 86 meV/atom
Crystal system: triclinic
Formation energy: 0.1033 eV/atom

abc: 5.6147 6.8161 8.9070
angles: 111.57 108.27 90.04
Closest atoms and distances in Å follow each position.
Fractional positions:
Tb 0.0747 0.3823 0.1481  4 Sm 3.35-3.69, 3 Tb 3.41-3.46, 2 Y 3.70-3.71
Tb 0.3682 0.3115 0.7377  6 Sm 3.37-3.77, 2 Tb 3.41, 1 Y 3.62
Tb 0.6318 0.6885 0.2623  6 Sm 3.37-3.77, 2 Tb 3.41, 1 Y 3.62
Tb 0.9253 0.6177 0.8519  4 Sm 3.35-3.69, 3 Tb 3.41-3.46, 2 Y 3.70-3.71
Sm 0.1337 0.9625 0.2657  5 Tb 3.37-3.69, 3 Sm 3.52-3.54, 2 Y 3.66-3.67
Sm 0.2808 0.7121 0.5626  4 Tb 3.35-3.75, 1 Y 3.45, 3 Sm 3.52-3.54
Sm 0.7192 0.2879 0.4374  4 Tb 3.35-3.75, 1 Y 3.45, 3 Sm 3.52-3.54
Sm 0.8663 0.0375 0.7343  5 Tb 3.37-3.69, 3 Sm 3.52-3.54, 2 Y 3.66-3.67
Y 0.5000 0.0000 0.0000  6 Sm 3.45-3.67, 6 Tb 3.62-3.71

=====

Material: RbAl2BiC
Method: DFT, GGA-PBE
State: relaxed

Calculated values
Crystal system: tetragonal
Formation energy: 0.8762 eV/atom

abc: 4.5916 4.5916 5.5684
angles: 90.00 90.00 90.00
Closest atoms and distances in Å follow each position.
Fractional positions:
Rb 0.0000 0.0000 0.0000  4 Bi 3.25, 8 Al 3.61
Al 0.0000 0.5000 0.5000  2 C 2.30
Al 0.5000 0.0000 0.5000  2 C 2.30
Bi 0.5000 0.5000 0.0000  2 C 2.78
C 0.5000 0.5000 0.5000  4 Al 2.30

=====

Material: AcTb4Y3
Method: DFT, GGA-PBE
State: relaxed

Calculated values
Relative energy among the computed polymorphs: 286 meV/atom
Crystal system: orthorhombic
Formation energy: 0.4421 eV/atom

abc: 8.9882 8.9882 3.4760
angles: 90.00 90.00 96.83
Closest atoms and distances in Å follow each position.
Fractional positions:
Ac 0.0000 0.0000 0.0000  2 Ac 3.48, 6 Tb 3.48-3.55
Tb 0.2591 0.7409 0.0000  5 Y 3.24-3.45, 2 Tb 3.48, 1 Ac 3.48
Tb 0.2597 0.2597 0.5000  4 Y 3.35-3.36, 2 Tb 3.48, 2 Ac 3.55
Tb 0.7403 0.7403 0.5000  4 Y 3.35-3.36, 2 Tb 3.48, 2 Ac 3.55
Tb 0.7409 0.2591 0.0000  5 Y 3.24-3.45, 2 Tb 3.48, 1 Ac 3.48
Y 0.0000 0.5000 0.5000  6 Tb 3.36-3.45, 2 Y 3.48
Y 0.5000 0.0000 0.5000  6 Tb 3.36-3.45, 2 Y 3.48
Y 0.5000 0.5000 0.0000  6 Tb 3.24-3.35, 2 Y 3.48

=====

Material: CuPbBr2
Method: DFT, GGA-PBE
State: relaxed

Calculated values
Raw formation energy: -105 kJ/mol of formula units
Relative energy among the computed polymorphs: 55 meV/atom
Crystal system: orthorhombic

abc: 7.0132 7.0132 7.0132
angles: 146.68 130.77 60.75
Closest atoms and distances in Å follow each position.
Fractional positions:
Cu 0.0000 0.0000 0.0000  2 Br 2.38
Pb 0.1546 0.6546 0.5000  2 Cu 2.75, 2 Br 2.96
Br 0.6142 0.6142 0.0000  2 Pb 2.96
Br 0.8947 0.3947 0.5000  2 Cu 2.38

=====

Material: CsRbSbTe3
Method: DFT, GGA-PBE
State: relaxed

Calculated values
Raw formation energy: -337 kJ/mol of formula units
Crystal system: monoclinic

abc: 7.6902 7.6902 10.3333
angles: 102.06 102.06 87.73
Closest atoms and distances in Å follow each position.
Fractional positions:
Cs 0.1033 0.1033 0.3788  5 Te 3.80-4.08, 1 Cs 3.85, 1 Sb 4.08
Cs 0.8967 0.8967 0.6212  5 Te 3.80-4.08, 1 Cs 3.85, 1 Sb 4.08
Rb 0.2765 0.7235 0.0000  6 Te 3.72-3.97
Rb 0.7235 0.2765 0.0000  6 Te 3.72-3.97
Sb 0.4612 0.4612 0.3466  3 Te 2.84-2.85, 1 Sb 3.03
Sb 0.5388 0.5388 0.6534  3 Te 2.84-2.85, 1 Sb 3.03
Te 0.0983 0.5613 0.2782  1 Sb 2.85
Te 0.3183 0.3183 0.7399  1 Sb 2.84
Te 0.4387 0.9017 0.7218  1 Sb 2.85
Te 0.5613 0.0983 0.2782  1 Sb 2.85
Te 0.6817 0.6817 0.2601  1 Sb 2.84
Te 0.9017 0.4387 0.7218  1 Sb 2.85

=====

Material: ZrVAsSe2
Method: DFT, GGA-PBE
State: relaxed

Calculated values
Raw formation energy: 206 kJ/mol of formula units
Relative energy among the computed polymorphs: 425 meV/atom
Crystal system: tetragonal

abc: 5.1318 5.1318 5.2301
angles: 90.00 90.00 90.00
Closest atoms and distances in Å follow each position.
Fractional positions:
Zr 0.0000 0.0000 0.0000  4 Se 2.57, 2 As 2.62
V 0.5000 0.5000 0.5000  4 As 3.63, 8 Se 3.66
As 0.0000 0.0000 0.5000  2 Zr 2.62
Se 0.0000 0.5000 0.0000  2 Zr 2.57
Se 0.5000 0.0000 0.0000  2 Zr 2.57

=====

Material: Na2HfPd
Method: DFT, GGA-PBE
State: relaxed

Calculated values
Relative energy among the computed polymorphs: 154 meV/atom
Crystal system: cubic
Formation energy: 0.7445 eV/atom

abc: 4.8908 4.8908 4.8908
angles: 60.00 60.00 60.00
Closest atoms and distances in Å follow each position.
Fractional positions:
Na 0.2500 0.2500 0.2500  4 Pd 3.00, 4 Hf 3.00
Na 0.7500 0.7500 0.7500  4 Hf 3.00, 4 Pd 3.00
Hf 0.0000 0.0000 0.0000  8 Na 3.00
Pd 0.5000 0.5000 0.5000  8 Na 3.00